1.
5
Lattice="4.878 0.000 0.000 0.000 4.878 0.000 0.000 0.000 4.826" Properties=species:S:1:pos:R:3 comment="RbNbTcIr2 | the Alexandria database | SCAN | PBEsol geometry" e_form_kj_per_mol_fu=690 pbc="T T T"
Rb 0.000 0.000 0.000
Nb 2.439 2.439 2.413
Tc 2.439 2.439 0.000
Ir 0.000 2.439 2.413
Ir 2.439 0.000 2.413


2.
5
Lattice="4.711 0.000 0.000 0.000 4.711 0.000 0.000 0.000 4.736" Properties=species:S:1:pos:R:3 comment="NbReIr2Se | the Alexandria database | SCAN | PBEsol geometry" e_form_raw_ev_per_atom=2.013 pbc="T T T"
Nb 0.000 0.000 0.000
Re 2.355 2.355 2.368
Ir 0.000 2.355 0.000
Ir 2.355 0.000 0.000
Se 0.000 0.000 2.368


3.
5
Lattice="4.578 0.000 0.000 0.000 4.578 0.000 0.000 0.000 4.578" Properties=species:S:1:pos:R:3 comment="NbIr3Rh | the Alexandria database | SCAN | PBEsol geometry" e_form_kj_per_mol_fu=949 pbc="T T T"
Nb 0.000 0.000 0.000
Ir 0.000 2.289 2.289
Ir 2.289 0.000 2.289
Ir 2.289 2.289 0.000
Rh 2.289 2.289 2.289


4.
5
Lattice="4.753 0.000 0.000 0.000 4.753 0.000 0.000 0.000 4.572" Properties=species:S:1:pos:R:3 comment="TaNb2IrRu | the Alexandria database | SCAN | PBEsol geometry" e_form_kj_per_mol_fu=605 pbc="T T T"
Ta 0.000 0.000 0.000
Nb 0.000 2.377 2.286
Nb 2.377 0.000 2.286
Ir 2.377 2.377 2.286
Ru 2.377 2.377 0.000


5.
48
Lattice="5.775 -6.630 0.000 5.775 6.630 0.000 -5.760 0.000 11.699" Properties=species:S:1:pos:R:3 comment="Nb15IrS32 | the Alexandria database | SCAN | PBEsol geometry" e_form_raw_ev_per_atom=-1.041 pbc="T T T"
Nb 0.000 0.000 0.000
Nb 0.007 3.315 5.849
Nb 2.728 1.640 0.016
Nb 2.895 4.889 5.849
Nb 0.024 0.000 5.841
Nb 5.775 3.031 0.000
Nb 2.728 -1.640 0.016
Nb 2.895 1.581 5.849
Nb 0.007 -3.315 5.849
Nb 2.895 -1.581 5.849
Nb 3.061 1.640 11.682
Nb 5.775 -3.031 0.000
Nb 5.765 0.000 5.857
Nb 2.895 -4.889 5.849
Nb 3.061 -1.640 11.682
Ir 5.775 0.000 0.000
S 0.906 1.718 1.545
S 0.980 4.966 7.406
S -3.857 0.000 10.099
S 1.925 3.289 4.286
S -1.924 0.000 7.344
S 3.860 3.282 1.542
S 4.809 4.966 4.293
S -0.969 1.548 10.146
S 0.906 -1.718 1.545
S 0.970 1.654 7.402
S 1.925 0.000 4.239
S 1.929 3.282 10.157
S 3.866 0.000 1.464
S 3.864 3.289 7.413
S -0.969 -1.548 10.146
S 4.820 1.654 4.297
S 0.970 -1.654 7.402
S 6.758 1.548 1.553
S 1.925 -3.289 4.286
S 1.924 0.000 10.234
S 3.860 -3.282 1.542
S 3.864 0.000 7.460
S 4.820 -1.654 4.297
S 4.883 1.718 10.153
S 6.758 -1.548 1.553
S 0.980 -4.966 7.406
S 1.929 -3.282 10.157
S 7.713 0.000 4.354
S 3.864 -3.289 7.413
S 9.647 0.000 1.599
S 4.809 -4.966 4.293
S 4.883 -1.718 10.153


6.
30
Lattice="6.655 0.000 0.000 3.323 8.273 0.000 1.571 1.899 10.232" Properties=species:S:1:pos:R:3 comment="Nb9IrS20 | the Alexandria database | SCAN | PBEsol geometry" e_form_raw_ev_per_atom=-1.020 pbc="T T T"
Nb 0.000 0.000 0.000
Nb 1.515 2.144 2.214
Nb 3.312 4.030 4.045
Nb 4.929 6.014 6.032
Nb 6.680 8.311 8.347
Nb 4.869 1.861 1.884
Nb 6.620 4.159 4.200
Nb 8.237 6.142 6.186
Nb 10.034 8.028 8.018
Ir 3.328 0.000 0.000
S 3.267 6.518 4.344
S 3.277 5.626 7.888
S 4.943 7.706 9.934
S 5.029 8.551 6.407
S 3.302 2.422 8.501
S 5.016 7.936 1.732
S 3.200 2.379 0.276
S 3.274 1.597 3.822
S 4.959 4.398 2.332
S 4.936 3.599 5.892
S 6.613 6.573 4.339
S 6.590 5.774 7.899
S 8.275 8.576 6.410
S 8.349 7.793 9.956
S 6.533 2.236 8.500
S 8.247 7.750 1.731
S 6.520 1.621 3.825
S 6.606 2.466 0.298
S 8.272 4.546 2.343
S 8.282 3.655 5.888